The following is a PBE+U calculation of a relaxed structure of ZrNi2TeO6, from Alexandria.

Cell and atoms, written as POSCAR:
```
ZrNi2TeO6
1.0
4.0711 0.0000 0.0000
0.0000 5.9344 0.0000
0.0000 0.0000 5.9344
Ni Zr O Te
2 1 6 1
direct
0.8406 0.0000 0.5000
0.8406 0.5000 0.0000
0.6680 0.0000 0.0000
0.7490 0.7453 0.2547
0.7490 0.2547 0.7453
0.7490 0.2547 0.2547
0.1968 0.0000 0.0000
0.2118 0.5000 0.5000
0.7490 0.7453 0.7453
0.6931 0.5000 0.5000
```

Values from the calculation:
Final energy in eV/atom: -5.924
N(E_F) in states/eV/atom: 0.41